No. 1
# PBE NaTiP2, optimized geometry
data_NaTiP2
_cell_length_a 8.504
_cell_length_b 8.504
_cell_length_c 8.504
_cell_angle_alpha 143.73
_cell_angle_beta 143.73
_cell_angle_gamma 52.23
_symmetry_space_group_name_H-M 'P 1'
_symmetry_Int_Tables_number 1
loop_
_symmetry_equiv_pos_as_xyz
'x,y,z'
loop_
_atom_site_label
_atom_site_type_symbol
_atom_site_fract_x
_atom_site_fract_y
_atom_site_fract_z
_atom_site_occupancy
Na1 Na 0.000 0.000 0.000 1
Na2 Na 0.750 0.250 0.500 1
Ti1 Ti 0.250 0.750 0.500 1
Ti2 Ti 0.500 0.500 0.000 1
P1 P 0.373 0.125 0.748 1
P2 P 0.375 0.627 0.752 1
P3 P 0.377 0.625 0.252 1
P4 P 0.875 0.623 0.248 1
# Electronic total energy ... -5.26 eV per atom
# Density of states at the Fermi level ... 3.3 states/eV per cell
# Relative energy among the computed polymorphs ... 0.294 eV per atom
# Magnetization ... 0.000 Bohr magnetons per cell
# Energy relative to the elements ... -254 meV per atom



No. 2
# PBE Na6TiP4, optimized geometry
data_Na6TiP4
_cell_length_a 9.277
_cell_length_b 9.277
_cell_length_c 7.158
_cell_angle_alpha 90.00
_cell_angle_beta 90.00
_cell_angle_gamma 120.00
_symmetry_space_group_name_H-M 'P 1'
_symmetry_Int_Tables_number 1
loop_
_symmetry_equiv_pos_as_xyz
'x,y,z'
loop_
_atom_site_label
_atom_site_type_symbol
_atom_site_fract_x
_atom_site_fract_y
_atom_site_fract_z
_atom_site_occupancy
Na1 Na 0.062 0.531 0.000 1
Na2 Na 0.142 0.284 0.319 1
Na3 Na 0.142 0.858 0.319 1
Na4 Na 0.284 0.142 0.819 1
Na5 Na 0.469 0.531 0.000 1
Na6 Na 0.469 0.938 0.000 1
Na7 Na 0.531 0.062 0.500 1
Na8 Na 0.531 0.469 0.500 1
Na9 Na 0.716 0.858 0.319 1
Na10 Na 0.858 0.142 0.819 1
Na11 Na 0.858 0.716 0.819 1
Na12 Na 0.938 0.469 0.500 1
Ti1 Ti 0.333 0.667 0.620 1
Ti2 Ti 0.667 0.333 0.120 1
P1 P 0.192 0.383 0.712 1
P2 P 0.192 0.808 0.712 1
P3 P 0.333 0.667 0.291 1
P4 P 0.383 0.192 0.212 1
P5 P 0.617 0.808 0.712 1
P6 P 0.667 0.333 0.791 1
P7 P 0.808 0.192 0.212 1
P8 P 0.808 0.617 0.212 1
# Electronic total energy ... -3.80 eV per atom
# Density of states at the Fermi level ... 14.2 states/eV per cell
# Magnetization ... 3.233 Bohr magnetons per cell
# Energy relative to the elements ... -399 meV per atom



No. 3
# PBE NaTiP2, optimized geometry
data_NaTiP2
_cell_length_a 4.519
_cell_length_b 4.519
_cell_length_c 4.519
_cell_angle_alpha 60.00
_cell_angle_beta 60.00
_cell_angle_gamma 60.00
_symmetry_space_group_name_H-M 'P 1'
_symmetry_Int_Tables_number 1
loop_
_symmetry_equiv_pos_as_xyz
'x,y,z'
loop_
_atom_site_label
_atom_site_type_symbol
_atom_site_fract_x
_atom_site_fract_y
_atom_site_fract_z
_atom_site_occupancy
Na1 Na 0.000 0.000 0.000 1
Ti1 Ti 0.500 0.500 0.500 1
P1 P 0.250 0.250 0.250 1
P2 P 0.750 0.750 0.750 1
# Electronic total energy ... -5.19 eV per atom
# Density of states at the Fermi level ... 2.1 states/eV per cell
# Relative energy among the computed polymorphs ... 0.367 eV per atom
# Magnetization ... 0.000 Bohr magnetons per cell
# Energy relative to the elements ... -180 meV per atom



No. 4
# PBE Na3TlP, optimized geometry
data_Na3TlP
_cell_length_a 5.604
_cell_length_b 5.604
_cell_length_c 5.604
_cell_angle_alpha 90.00
_cell_angle_beta 90.00
_cell_angle_gamma 90.00
_symmetry_space_group_name_H-M 'P 1'
_symmetry_Int_Tables_number 1
loop_
_symmetry_equiv_pos_as_xyz
'x,y,z'
loop_
_atom_site_label
_atom_site_type_symbol
_atom_site_fract_x
_atom_site_fract_y
_atom_site_fract_z
_atom_site_occupancy
Na1 Na 0.000 0.000 0.500 1
Na2 Na 0.000 0.500 0.000 1
Na3 Na 0.500 0.000 0.000 1
Tl1 Tl 0.000 0.000 0.000 1
P1 P 0.500 0.500 0.500 1
# Electronic total energy ... -1.75 eV per atom
# Density of states at the Fermi level ... 4.4 states/eV per cell
# Relative energy among the computed polymorphs ... 0.649 eV per atom
# Magnetization ... 0.000 Bohr magnetons per cell
# Energy relative to the elements ... 597 meV per atom



No. 5
# PBE NaTl2P2, optimized geometry
data_NaTl2P2
_cell_length_a 6.967
_cell_length_b 6.967
_cell_length_c 6.967
_cell_angle_alpha 140.47
_cell_angle_beta 140.47
_cell_angle_gamma 57.14
_symmetry_space_group_name_H-M 'P 1'
_symmetry_Int_Tables_number 1
loop_
_symmetry_equiv_pos_as_xyz
'x,y,z'
loop_
_atom_site_label
_atom_site_type_symbol
_atom_site_fract_x
_atom_site_fract_y
_atom_site_fract_z
_atom_site_occupancy
Na1 Na 0.000 0.000 0.000 1
Tl1 Tl 0.250 0.750 0.500 1
Tl2 Tl 0.750 0.250 0.500 1
P1 P 0.414 0.414 0.000 1
P2 P 0.586 0.586 0.000 1
# Electronic total energy ... -3.34 eV per atom
# Density of states at the Fermi level ... 4.1 states/eV per cell
# Relative energy among the computed polymorphs ... 0.036 eV per atom
# Magnetization ... 0.000 Bohr magnetons per cell
# Energy relative to the elements ... 32 meV per atom



No. 6
# PBE Na3TlP, optimized geometry
data_Na3TlP
_cell_length_a 5.437
_cell_length_b 5.437
_cell_length_c 5.437
_cell_angle_alpha 90.00
_cell_angle_beta 90.00
_cell_angle_gamma 90.00
_symmetry_space_group_name_H-M 'P 1'
_symmetry_Int_Tables_number 1
loop_
_symmetry_equiv_pos_as_xyz
'x,y,z'
loop_
_atom_site_label
_atom_site_type_symbol
_atom_site_fract_x
_atom_site_fract_y
_atom_site_fract_z
_atom_site_occupancy
Na1 Na 0.000 0.000 0.500 1
Na2 Na 0.000 0.500 0.000 1
Na3 Na 0.500 0.000 0.000 1
Tl1 Tl 0.500 0.500 0.500 1
P1 P 0.000 0.000 0.000 1
# Electronic total energy ... -2.40 eV per atom
# Density of states at the Fermi level ... 4.3 states/eV per cell
# Relative energy among the computed polymorphs ... 0.000 eV per atom
# Magnetization ... 0.000 Bohr magnetons per cell
# Energy relative to the elements ... -53 meV per atom



No. 7
# PBE NaTl3P, optimized geometry
data_NaTl3P
_cell_length_a 5.501
_cell_length_b 5.501
_cell_length_c 5.501
_cell_angle_alpha 90.00
_cell_angle_beta 90.00
_cell_angle_gamma 90.00
_symmetry_space_group_name_H-M 'P 1'
_symmetry_Int_Tables_number 1
loop_
_symmetry_equiv_pos_as_xyz
'x,y,z'
loop_
_atom_site_label
_atom_site_type_symbol
_atom_site_fract_x
_atom_site_fract_y
_atom_site_fract_z
_atom_site_occupancy
Na1 Na 0.000 0.000 0.000 1
Tl1 Tl 0.000 0.000 0.500 1
Tl2 Tl 0.000 0.500 0.000 1
Tl3 Tl 0.500 0.000 0.000 1
P1 P 0.500 0.500 0.500 1
# Electronic total energy ... -2.08 eV per atom
# Density of states at the Fermi level ... 3.4 states/eV per cell
# Relative energy among the computed polymorphs ... 0.426 eV per atom
# Magnetization ... 0.234 Bohr magnetons per cell
# Energy relative to the elements ... 688 meV per atom



No. 8
# PBE NaTlP2, optimized geometry
data_NaTlP2
_cell_length_a 4.927
_cell_length_b 4.927
_cell_length_c 4.927
_cell_angle_alpha 60.00
_cell_angle_beta 60.00
_cell_angle_gamma 60.00
_symmetry_space_group_name_H-M 'P 1'
_symmetry_Int_Tables_number 1
loop_
_symmetry_equiv_pos_as_xyz
'x,y,z'
loop_
_atom_site_label
_atom_site_type_symbol
_atom_site_fract_x
_atom_site_fract_y
_atom_site_fract_z
_atom_site_occupancy
Na1 Na 0.000 0.000 0.000 1
Tl1 Tl 0.500 0.500 0.500 1
P1 P 0.250 0.250 0.250 1
P2 P 0.750 0.750 0.750 1
# Electronic total energy ... -3.19 eV per atom
# Density of states at the Fermi level ... 3.4 states/eV per cell
# Relative energy among the computed polymorphs ... 0.182 eV per atom
# Magnetization ... 0.000 Bohr magnetons per cell
# Energy relative to the elements ... 441 meV per atom



No. 9
# PBE NaTlP2, optimized geometry
data_NaTlP2
_cell_length_a 6.220
_cell_length_b 6.220
_cell_length_c 6.220
_cell_angle_alpha 102.68
_cell_angle_beta 102.68
_cell_angle_gamma 124.13
_symmetry_space_group_name_H-M 'P 1'
_symmetry_Int_Tables_number 1
loop_
_symmetry_equiv_pos_as_xyz
'x,y,z'
loop_
_atom_site_label
_atom_site_type_symbol
_atom_site_fract_x
_atom_site_fract_y
_atom_site_fract_z
_atom_site_occupancy
Na1 Na 0.000 0.000 0.000 1
Na2 Na 0.750 0.250 0.500 1
Tl1 Tl 0.250 0.750 0.500 1
Tl2 Tl 0.500 0.500 0.000 1
P1 P 0.156 0.125 0.531 1
P2 P 0.375 0.844 0.969 1
P3 P 0.594 0.625 0.469 1
P4 P 0.875 0.406 0.031 1
# Electronic total energy ... -3.37 eV per atom
# Density of states at the Fermi level ... 0.0 states/eV per cell
# Relative energy among the computed polymorphs ... 0.000 eV per atom
# Magnetization ... 0.000 Bohr magnetons per cell
# Energy relative to the elements ... 259 meV per atom



No. 10
# PBE NaTl2P2, optimized geometry
data_NaTl2P2
_cell_length_a 7.294
_cell_length_b 7.294
_cell_length_c 4.917
_cell_angle_alpha 90.00
_cell_angle_beta 90.00
_cell_angle_gamma 90.00
_symmetry_space_group_name_H-M 'P 1'
_symmetry_Int_Tables_number 1
loop_
_symmetry_equiv_pos_as_xyz
'x,y,z'
loop_
_atom_site_label
_atom_site_type_symbol
_atom_site_fract_x
_atom_site_fract_y
_atom_site_fract_z
_atom_site_occupancy
Na1 Na 0.000 0.000 0.000 1
Na2 Na 0.500 0.500 0.000 1
Tl1 Tl 0.178 0.322 0.500 1
Tl2 Tl 0.322 0.822 0.500 1
Tl3 Tl 0.678 0.178 0.500 1
Tl4 Tl 0.822 0.678 0.500 1
P1 P 0.103 0.603 0.000 1
P2 P 0.397 0.103 0.000 1
P3 P 0.603 0.897 0.000 1
P4 P 0.897 0.397 0.000 1
# Electronic total energy ... -3.38 eV per atom
# Density of states at the Fermi level ... 8.8 states/eV per cell
# Relative energy among the computed polymorphs ... 0.000 eV per atom
# Magnetization ... 0.000 Bohr magnetons per cell
# Energy relative to the elements ... -5 meV per atom



No. 11
# PBE Na5TlP2, optimized geometry
data_Na5TlP2
_cell_length_a 5.088
_cell_length_b 5.088
_cell_length_c 18.536
_cell_angle_alpha 90.00
_cell_angle_beta 90.00
_cell_angle_gamma 120.00
_symmetry_space_group_name_H-M 'P 1'
_symmetry_Int_Tables_number 1
loop_
_symmetry_equiv_pos_as_xyz
'x,y,z'
loop_
_atom_site_label
_atom_site_type_symbol
_atom_site_fract_x
_atom_site_fract_y
_atom_site_fract_z
_atom_site_occupancy
Na1 Na 0.000 0.000 0.135 1
Na2 Na 0.000 0.000 0.365 1
Na3 Na 0.000 0.000 0.635 1
Na4 Na 0.000 0.000 0.865 1
Na5 Na 0.333 0.667 0.052 1
Na6 Na 0.333 0.667 0.250 1
Na7 Na 0.333 0.667 0.448 1
Na8 Na 0.667 0.333 0.552 1
Na9 Na 0.667 0.333 0.750 1
Na10 Na 0.667 0.333 0.948 1
Tl1 Tl 0.333 0.667 0.750 1
Tl2 Tl 0.667 0.333 0.250 1
P1 P 0.333 0.667 0.606 1
P2 P 0.333 0.667 0.894 1
P3 P 0.667 0.333 0.106 1
P4 P 0.667 0.333 0.394 1
# Electronic total energy ... -2.61 eV per atom
# Density of states at the Fermi level ... 5.9 states/eV per cell
# Magnetization ... 0.000 Bohr magnetons per cell
# Energy relative to the elements ... -142 meV per atom



No. 12
# PBE NaTl3P, optimized geometry
data_NaTl3P
_cell_length_a 5.504
_cell_length_b 5.504
_cell_length_c 5.504
_cell_angle_alpha 90.00
_cell_angle_beta 90.00
_cell_angle_gamma 90.00
_symmetry_space_group_name_H-M 'P 1'
_symmetry_Int_Tables_number 1
loop_
_symmetry_equiv_pos_as_xyz
'x,y,z'
loop_
_atom_site_label
_atom_site_type_symbol
_atom_site_fract_x
_atom_site_fract_y
_atom_site_fract_z
_atom_site_occupancy
Na1 Na 0.000 0.000 0.000 1
Tl1 Tl 0.000 0.500 0.500 1
Tl2 Tl 0.500 0.000 0.500 1
Tl3 Tl 0.500 0.500 0.000 1
P1 P 0.500 0.500 0.500 1
# Electronic total energy ... -2.50 eV per atom
# Density of states at the Fermi level ... 4.4 states/eV per cell
# Relative energy among the computed polymorphs ... 0.000 eV per atom
# Magnetization ... 0.000 Bohr magnetons per cell
# Energy relative to the elements ... 262 meV per atom



No. 13
# PBE Na2TlP, optimized geometry
data_Na2TlP
_cell_length_a 10.446
_cell_length_b 10.446
_cell_length_c 10.446
_cell_angle_alpha 154.55
_cell_angle_beta 154.55
_cell_angle_gamma 36.30
_symmetry_space_group_name_H-M 'P 1'
_symmetry_Int_Tables_number 1
loop_
_symmetry_equiv_pos_as_xyz
'x,y,z'
loop_
_atom_site_label
_atom_site_type_symbol
_atom_site_fract_x
_atom_site_fract_y
_atom_site_fract_z
_atom_site_occupancy
Na1 Na 0.081 0.625 0.956 1
Na2 Na 0.375 0.331 0.456 1
Na3 Na 0.669 0.125 0.044 1
Na4 Na 0.875 0.919 0.544 1
Tl1 Tl 0.250 0.750 0.500 1
Tl2 Tl 0.500 0.500 0.000 1
P1 P 0.000 0.000 0.000 1
P2 P 0.750 0.250 0.500 1
# Electronic total energy ... -2.49 eV per atom
# Density of states at the Fermi level ... 5.5 states/eV per cell
# Magnetization ... 0.000 Bohr magnetons per cell
# Energy relative to the elements ... 116 meV per atom